# 1
DyY3Ni: relaxed, GGA-PBE.

Values from the calculation:
ΔE_f = -0.59 eV/f.u.
E above lowest polymorph = 0.0503 eV/atom
space-group type = C2/m

a = 7.208 Å, b = 7.208 Å, c = 7.199 Å
α = 109.06°, β = 111.84°, γ = 107.60°
Positions (direct):
Y: 0.761 0.553 0.715
Y: 0.239 0.447 0.285
Y: 0.288 0.549 0.837
Y: 0.162 0.954 0.715
Y: 0.838 0.046 0.285
Y: 0.712 0.451 0.163
Dy: 0.709 0.049 0.758
Dy: 0.291 0.951 0.242
Ni: 0.621 0.752 0.372
Ni: 0.379 0.248 0.628



# 2
Mg3AsN: relaxed, GGA-PBE.

Values from the calculation:
formation energy (no corrections) = -0.6255 eV/atom
space-group type = P2/m

a = 6.097 Å, b = 6.543 Å, c = 4.166 Å
α = 90.00°, β = 90.00°, γ = 77.22°
Positions (direct):
N: 0.467 0.428 0.163
N: 0.149 0.907 0.163
Mg: 0.808 0.168 0.163
Mg: 0.308 0.168 0.163
Mg: 0.105 0.601 0.163
Mg: 0.509 0.392 0.663
Mg: 0.511 0.735 0.163
Mg: 0.106 0.944 0.663
As: 0.991 0.383 0.663
As: 0.625 0.953 0.663



# 3
YTcBi3: relaxed, GGA-PBE.

Values from the calculation:
ΔE_f = 5.89 eV/f.u.
E above lowest polymorph = 0.7712 eV/atom
space-group type = Pm-3m

a = 5.822 Å, b = 5.822 Å, c = 5.822 Å
α = 90.00°, β = 90.00°, γ = 90.00°
Positions (direct):
Tc: 0.500 0.500 0.500
Bi: 0.000 0.500 0.000
Bi: 0.500 0.000 0.000
Bi: 0.000 0.000 0.500
Y: 0.000 0.000 0.000



no.,VASP energy (eV/atom),magnetization (μB/cell)
1,-6.073,0.5
2,-4.177,0.0
3,-4.517,4.0